[1]
A plane-wave DFT calculation with PBE was carried out for a geometry-optimized LiCe2P3Rh12 structure.

Unit cell a=8.6451 b=8.6451 c=13.3843 alpha=90.00 beta=90.00 gamma=120.00
Last column: nearest neighbours and their distance in Å.
Space group R-3m (No. 166, hexagonal axes)
Inequivalent atoms, fractional coordinates:
Li 0.0000 0.0000 0.0000 x3  6 Rh 2.60
Ce 0.0000 0.0000 0.3799 x6  3 Rh 2.45
P 0.0000 0.5000 0.5000 x9  6 Rh 2.30-2.43
Rh 0.0142 0.5071 0.3286 x18  1 P 2.30, 1 Ce 2.45
Rh 0.0358 0.5179 0.8738 x18  2 P 2.43

Summary:
Crystal system ... trigonal
E_tot ... -6.99 eV/atom
DFT formation energy ... -0.419 eV per atom

---

[2]
A plane-wave DFT calculation with PBE was carried out for a geometry-optimized LiCe2ThP4 structure.

Unit cell a=7.0179 b=4.1279 c=7.0611 alpha=90.00 beta=109.32 gamma=90.00
Last column: nearest neighbours and their distance in Å.
Space group P2/m (No. 10)
Inequivalent atoms, fractional coordinates:
Li 0.0000 0.0000 0.0000 x1  6 P 2.88-2.96
Ce 0.0000 0.5000 0.5000 x1  6 P 2.86-2.89
Ce 0.5000 0.0000 0.5000 x1  6 P 2.84-2.86
Th 0.5000 0.5000 0.0000 x1  6 P 2.89-2.91
P 0.2489 0.0000 0.7469 x2  3 Ce 2.86-2.89, 1 Li 2.88, 2 Th 2.91
P 0.2591 0.5000 0.2617 x2  3 Ce 2.84-2.86, 1 Th 2.89, 2 Li 2.96

Summary:
Crystal system ... monoclinic
E_tot ... -6.54 eV/atom
DFT formation energy ... -1.183 eV per atom

---

[3]
A plane-wave DFT calculation with PBE was carried out for a geometry-optimized LiCePa2Pt4 structure.

Unit cell a=4.8392 b=4.8392 c=25.1323 alpha=90.00 beta=90.00 gamma=120.00
Last column: nearest neighbours and their distance in Å.
Space group R-3m (No. 166, hexagonal axes)
Inequivalent atoms, fractional coordinates:
Li 0.0000 0.0000 0.0000 x3  2 Pt 2.68
Ce 0.0000 0.0000 0.5000 x3  8 Pt 2.98-3.17
Pa 0.0000 0.0000 0.2650 x6  7 Pt 2.84-2.96
Pt 0.0000 0.0000 0.1068 x6  1 Li 2.68, 3 Pa 2.96
Pt 0.0000 0.0000 0.3813 x6  4 Pa 2.84-2.92, 1 Ce 2.98, 3 Li 3.04, 3 Pt 3.16

Summary:
Crystal system ... trigonal
E_tot ... -7.21 eV/atom
DFT formation energy ... -0.838 eV per atom

---

[4]
A plane-wave DFT calculation with PBE was carried out for a geometry-optimized LiCePaRe structure.

Unit cell a=6.9706 b=6.9706 c=6.9706 alpha=90.00 beta=90.00 gamma=90.00
Last column: nearest neighbours and their distance in Å.
Space group F-43m (No. 216)
Inequivalent atoms, fractional coordinates:
Li 0.0000 0.0000 0.0000 x4  4 Ce 3.02, 4 Pa 3.02
Ce 0.2500 0.2500 0.7500 x4  4 Li 3.02, 4 Re 3.02
Pa 0.2500 0.2500 0.2500 x4  4 Li 3.02, 4 Re 3.02
Re 0.0000 0.0000 0.5000 x4  4 Ce 3.02, 4 Pa 3.02

Summary:
Crystal system ... cubic
E_tot ... -7.27 eV/atom
DFT formation energy ... 0.182 eV per atom